VASP calculation (PBE-GGA) on LiNiAu after structural relaxation.

Geometry as POSCAR:
```
LiNiAu
1.0
4.5460 0.0000 0.0000
0.0000 3.9632 2.2964
0.0000 -3.9632 2.2964
Li Ni Au
2 2 2
Direct
0.0000 0.1695 0.8305
0.0000 0.8305 0.1695
0.5000 0.4551 0.7858
0.5000 0.7858 0.4551
0.0000 0.5152 0.5152
0.5000 0.1182 0.1182
```

Properties
The energy above the most stable polymorph in this dataset is 15.5 meV/atom. The calculation puts the formation energy at -221 meV per atom. As for the total moment: 0.0 μB/f.u.